TiMn2GeF: optimized geometry, PBE+U.

Calculated values
Energy: -5.15 eV/atom
Crystal system: tetragonal
Space-group type: P4/mmm

CIF file:
```
data_TiMn2GeF
_chemical_formula_sum 'Ti1 Mn2 Ge1 F1'
_symmetry_space_group_name_H-M 'P 1'
_symmetry_Int_Tables_number 1
_cell_length_a 5.182
_cell_length_b 5.182
_cell_length_c 4.888
_cell_angle_alpha 90.00
_cell_angle_beta 90.00
_cell_angle_gamma 90.00
loop_
_symmetry_equiv_pos_as_xyz
'x,y,z'
loop_
_atom_site_label
_atom_site_type_symbol
_atom_site_fract_x
_atom_site_fract_y
_atom_site_fract_z
Ti1 Ti 0.000 0.000 0.000
Mn1 Mn 0.000 0.500 0.000
Mn2 Mn 0.500 0.000 0.000
Ge1 Ge 0.000 0.000 0.500
F1 F 0.500 0.500 0.500
```